Below is a relaxed structure of In5HgPd6, with properties calculated at the PBE-GGA level.

```
In5HgPd6
1.0
-3.493 -1.945 -2.299
1.547 -5.978 2.708
-5.984 0.343 4.175
Hg Pd In
1 6 5
Cartesian
0.000 0.000 0.000
-3.788 -5.974 1.558
-4.560 -2.992 0.207
-1.340 -2.543 -0.438
-0.606 -5.380 0.847
-3.370 -4.589 4.376
-4.142 -1.607 3.025
-5.544 -4.057 2.604
-3.119 -0.546 0.575
0.773 -2.989 1.354
-6.357 -1.056 1.300
-2.386 -3.523 1.979
```

Results
* uncorrected energy: -50.501 eV for the cell shown
* formation energy from the elements: -0.45 eV per atom
* total magnetic moment: 0.00 Bohr magnetons per cell
* volume: 216 Å³ per cell
* theoretical density: 10.9 Mg/m³